i | # PBE PrEr3Sc, relaxed
data_PrEr3Sc
_cell_length_a 3.4855
_cell_length_b 8.5225
_cell_length_c 11.1871
_cell_angle_alpha 110.02
_cell_angle_beta 98.95
_cell_angle_gamma 90.08
_symmetry_space_group_name_H-M 'P -1'
_symmetry_Int_Tables_number 2
_symmetry_space_group_name_Hall '-P 1'
loop_
_atom_site_label
_atom_site_type_symbol
_atom_site_fract_x
_atom_site_fract_y
_atom_site_fract_z
_atom_site_occupancy
Pr1 Pr 0.0313 0.3139 0.0591 1
Er1 Er 0.1362 0.7342 0.2736 1
Er2 Er 0.3200 0.5670 0.6411 1
Er3 Er 0.4162 0.9771 0.8323 1
Sc1 Sc 0.2258 0.1392 0.4509 1
# **Calculated volume**: 307.9 Å³ per cell
# **DOS(E_F)**: 15.91 states/eV/cell

=====

ii | # PBE PrEr3Sc, relaxed
data_PrEr3Sc
_cell_length_a 6.1817
_cell_length_b 5.5718
_cell_length_c 9.4157
_cell_angle_alpha 90.00
_cell_angle_beta 109.03
_cell_angle_gamma 90.00
_symmetry_space_group_name_H-M 'P 1 21/m 1'
_symmetry_Int_Tables_number 11
_symmetry_space_group_name_Hall '-P 2yb'
loop_
_atom_site_label
_atom_site_type_symbol
_atom_site_fract_x
_atom_site_fract_y
_atom_site_fract_z
_atom_site_occupancy
Pr1 Pr 0.0688 0.2500 0.2985 1
Er1 Er 0.1423 0.7500 0.0946 1
Er2 Er 0.2739 0.2500 0.7105 1
Er3 Er 0.3373 0.7500 0.5039 1
Sc1 Sc 0.4639 0.2500 0.0947 1
# **Calculated volume**: 306.6 Å³ per cell
# **DOS(E_F)**: 18.00 states/eV/cell

=====

Of them, the most stable is ii and the least stable is i.

=====

i | # PBE Pr3Er4Sc, relaxed
data_Pr3Er4Sc
_cell_length_a 3.4882
_cell_length_b 11.6279
_cell_length_c 12.7995
_cell_angle_alpha 90.00
_cell_angle_beta 90.00
_cell_angle_gamma 90.00
_symmetry_space_group_name_H-M 'I m m m'
_symmetry_Int_Tables_number 71
_symmetry_space_group_name_Hall '-I 2 2'
loop_
_atom_site_label
_atom_site_type_symbol
_atom_site_fract_x
_atom_site_fract_y
_atom_site_fract_z
_atom_site_occupancy
Pr1 Pr 0.0000 0.0000 0.0000 1
Pr2 Pr 0.0000 0.5000 0.2400 1
Er1 Er 0.0000 0.2421 0.3663 1
Sc1 Sc 0.0000 0.0000 0.5000 1
# **Calculated volume**: 519.1 Å³ per cell
# **DOS(E_F)**: 23.67 states/eV/cell

=====

ii | # PBE Pr3Er4Sc, relaxed
data_Pr3Er4Sc
_cell_length_a 11.3494
_cell_length_b 7.2711
_cell_length_c 6.2362
_cell_angle_alpha 90.00
_cell_angle_beta 90.00
_cell_angle_gamma 90.00
_symmetry_space_group_name_H-M 'P m n 21'
_symmetry_Int_Tables_number 31
_symmetry_space_group_name_Hall 'P 2ac -2'
loop_
_atom_site_label
_atom_site_type_symbol
_atom_site_fract_x
_atom_site_fract_y
_atom_site_fract_z
_atom_site_occupancy
Pr1 Pr 0.0000 0.1280 0.0000 1
Pr2 Pr 0.2497 0.1247 0.6656 1
Er1 Er 0.0000 0.3790 0.4965 1
Er2 Er 0.0000 0.6225 0.9986 1
Er3 Er 0.2444 0.6227 0.6613 1
Sc1 Sc 0.0000 0.8673 0.5033 1
# **Calculated volume**: 514.6 Å³ per cell
# **DOS(E_F)**: 27.63 states/eV/cell

=====

Of them, the most stable is ii and the least stable is i.

=====

i | # PBE Pr7Er2Sc2, relaxed
data_Pr7Er2Sc2
_cell_length_a 11.0389
_cell_length_b 11.6150
_cell_length_c 6.1408
_cell_angle_alpha 90.00
_cell_angle_beta 111.15
_cell_angle_gamma 90.00
_symmetry_space_group_name_H-M 'C 1 2/m 1'
_symmetry_Int_Tables_number 12
_symmetry_space_group_name_Hall '-C 2y'
loop_
_atom_site_label
_atom_site_type_symbol
_atom_site_fract_x
_atom_site_fract_y
_atom_site_fract_z
_atom_site_occupancy
Pr1 Pr 0.0000 0.0000 0.0000 1
Pr2 Pr 0.0759 0.5000 0.7949 1
Pr3 Pr 0.1822 0.2376 0.1926 1
Er1 Er 0.2120 0.0000 0.5836 1
Sc1 Sc 0.0000 0.2206 0.5000 1
# **Calculated volume**: 734.3 Å³ per cell
# **DOS(E_F)**: 29.51 states/eV/cell

=====

ii | # PBE Pr7Er2Sc2, relaxed
data_Pr7Er2Sc2
_cell_length_a 6.4997
_cell_length_b 11.7165
_cell_length_c 10.1313
_cell_angle_alpha 90.00
_cell_angle_beta 90.00
_cell_angle_gamma 90.00
_symmetry_space_group_name_H-M 'C m m m'
_symmetry_Int_Tables_number 65
_symmetry_space_group_name_Hall '-C 2 2'
loop_
_atom_site_label
_atom_site_type_symbol
_atom_site_fract_x
_atom_site_fract_y
_atom_site_fract_z
_atom_site_occupancy
Pr1 Pr 0.0000 0.0000 0.0000 1
Pr2 Pr 0.0000 0.5000 0.2083 1
Pr3 Pr 0.2500 0.2500 0.3167 1
Er1 Er 0.0000 0.2855 0.0000 1
Sc1 Sc 0.2472 0.5000 0.5000 1
# **Calculated volume**: 771.5 Å³ per cell
# **DOS(E_F)**: 35.87 states/eV/cell

=====

Of them, the most stable is i and the least stable is ii.

=====

i | # PBE Pr8Er3Sc2, relaxed
data_Pr8Er3Sc2
_cell_length_a 13.0378
_cell_length_b 11.7871
_cell_length_c 6.0879
_cell_angle_alpha 90.00
_cell_angle_beta 112.46
_cell_angle_gamma 90.00
_symmetry_space_group_name_H-M 'C 1 2/m 1'
_symmetry_Int_Tables_number 12
_symmetry_space_group_name_Hall '-C 2y'
loop_
_atom_site_label
_atom_site_type_symbol
_atom_site_fract_x
_atom_site_fract_y
_atom_site_fract_z
_atom_site_occupancy
Pr1 Pr 0.0584 0.0000 0.2904 1
Pr2 Pr 0.1490 0.5000 0.5757 1
Pr3 Pr 0.1661 0.2524 0.1547 1
Er1 Er 0.0000 0.2462 0.5000 1
Er2 Er 0.0000 0.5000 0.0000 1
Sc1 Sc 0.2049 0.0000 0.8503 1
# **Calculated volume**: 864.6 Å³ per cell
# **DOS(E_F)**: 41.01 states/eV/cell

=====

ii | # PBE Pr8Er3Sc2, relaxed
data_Pr8Er3Sc2
_cell_length_a 19.8528
_cell_length_b 7.8307
_cell_length_c 5.7253
_cell_angle_alpha 90.00
_cell_angle_beta 90.02
_cell_angle_gamma 90.00
_symmetry_space_group_name_H-M 'C 1 2/m 1'
_symmetry_Int_Tables_number 12
_symmetry_space_group_name_Hall '-C 2y'
loop_
_atom_site_label
_atom_site_type_symbol
_atom_site_fract_x
_atom_site_fract_y
_atom_site_fract_z
_atom_site_occupancy
Pr1 Pr 0.1099 0.2033 0.0003 1
Pr2 Pr 0.1306 0.5000 0.4998 1
Pr3 Pr 0.1800 0.0000 0.5007 1
Er1 Er 0.0000 0.2118 0.5000 1
Er2 Er 0.0000 0.5000 0.0000 1
Sc1 Sc 0.2386 0.5000 0.9992 1
# **Calculated volume**: 890.1 Å³ per cell
# **DOS(E_F)**: 35.15 states/eV/cell

=====

Of them, the most stable is i and the least stable is ii.